A plane-wave DFT calculation with GGA+U was carried out for a relaxed Ho3Co5O12 crystal.

Cell: 12.216 12.216 12.216 Å, 90.00 90.00 90.00°
Space group Ia-3d (No. 230)
Asymmetric unit:
Ho (0.000, 0.250, 0.125)
Co (0.000, 0.000, 0.000)
Co (0.000, 0.250, 0.375)
O (0.026, 0.055, 0.648)

Magnetization: 95.52 Bohr magnetons per cell
Density: 7152 kg/m3
Total DFT energy (no corrections): -1101.095 eV/cell